No. 1
The following is a DFT calculation (PBE) of a relaxed KUAsO5 crystal.

Unit cell a=6.461 b=6.461 c=8.372 alpha=106.50 beta=106.50 gamma=102.98
Atoms (fractional coordinates):
1 K 0.071 0.929 0.750
2 K 0.929 0.071 0.250
3 U 0.000 0.500 0.000
4 U 0.500 0.000 0.500
5 As 0.433 0.567 0.750
6 As 0.567 0.433 0.250
7 O 0.139 0.282 0.050
8 O 0.237 0.763 0.250
9 O 0.246 0.605 0.863
10 O 0.282 0.139 0.550
11 O 0.395 0.754 0.637
12 O 0.605 0.246 0.363
13 O 0.718 0.861 0.450
14 O 0.754 0.395 0.137
15 O 0.763 0.237 0.750
16 O 0.861 0.718 0.950

Results
Calculated density ... 4.735 g/cm³
N(E_F) ... 0.0 states/eV/f.u.
E_tot ... -120.1 eV for the cell shown

=====

No. 2
The following is a DFT calculation (PBE) of a relaxed MgBeHS crystal.

Unit cell a=5.863 b=5.863 c=5.863 alpha=33.72 beta=33.72 gamma=33.72
Atoms (fractional coordinates):
1 Mg 0.000 0.000 0.000
2 Be 0.474 0.474 0.474
3 H 0.664 0.664 0.664
4 S 0.839 0.839 0.839

Results
Offset from the most stable computed form ... 0.016 eV per atom
Calculated density ... 1.992 g/cm³
N(E_F) ... 0.5 states/eV/f.u.
E_tot ... -14.3 eV for the cell shown